Crystalline TiMnTeC2 at its relaxed geometry, computed with PBE.

a b c (Å): 3.7950 3.7950 5.1101
angles (deg): 90.00 90.00 90.00
Atoms (fractional coordinates):
1 Ti 0.0000 0.0000 0.0000
2 Mn 0.0000 0.0000 0.5000
3 Te 0.5000 0.5000 0.0000
4 C 0.0000 0.5000 0.5000
5 C 0.5000 0.0000 0.5000

E_form (uncorrected) ... 1008 meV per atom
Theoretical density ... 5.7 g cm⁻³
Crystal system ... tetragonal
SG ... P4/mmm